# Ta3CrAg | the Alexandria database | PBE-GGA | optimized geometry
# DFT total energy, eV/cell: -37.1
# Excess energy over the best structure of this formula in the dataset, meV per atom: 1147
# ΔE_f, kcal/mol of atoms: 50.6
data_Ta3CrAg
_chemical_formula_sum 'Ta3 Cr1 Ag1'
_cell_length_a 4.8909
_cell_length_b 4.8909
_cell_length_c 4.8909
_cell_angle_alpha 90.00
_cell_angle_beta 90.00
_cell_angle_gamma 90.00
_space_group_name_H-M_alt 'P m -3 m'
_space_group_IT_number 221
_space_group_name_Hall '-P 4 2 3'
loop_
_atom_site_label
_atom_site_type_symbol
_atom_site_fract_x
_atom_site_fract_y
_atom_site_fract_z
Ta1 Ta 0.0000 0.0000 0.5000
Cr1 Cr 0.5000 0.5000 0.5000
Ag1 Ag 0.0000 0.0000 0.0000